Ba2CrF2 | GGA+U | relaxed

Unit cell a=8.2370 b=8.2370 c=3.5816 alpha=90.00 beta=90.00 gamma=90.00
Closest atoms and distances in Å follow each position.
Atoms (fractional coordinates):
Ba1 0.1729 0.3271 0.0000  6 F 3.01-3.03
Ba2 0.3271 0.8271 0.0000  6 F 3.01-3.03
Ba3 0.6729 0.1729 0.0000  6 F 3.01-3.03
Ba4 0.8271 0.6729 0.0000  6 F 3.01-3.03
Cr1 0.0000 0.0000 0.5000  4 F 3.28, 8 Ba 3.53, 2 Cr 3.58
Cr2 0.5000 0.5000 0.5000  4 F 3.28, 8 Ba 3.53, 2 Cr 3.58
F1 0.1198 0.6198 0.5000  1 F 2.79, 6 Ba 3.01-3.03
F2 0.3802 0.1198 0.5000  1 F 2.79, 6 Ba 3.01-3.03
F3 0.6198 0.8802 0.5000  1 F 2.79, 6 Ba 3.01-3.03
F4 0.8802 0.3802 0.5000  1 F 2.79, 6 Ba 3.01-3.03

## Properties
total DFT energy (no corrections)	-47.31	eV per cell
space-group type	P4/mbm (127)
energy relative to the lowest polymorph listed for this composition	3.1	kJ per mole of atoms
N(E_F)	5.50	states/eV/cell